## Nb4CuPbC2 (PBE)

Data for a relaxed structure of Nb4CuPbC2.

* calculated total energy: -8.492 eV per atom
* space group: P-6m2

Cell: 3.230 3.230 13.673 Å, 90.00 90.00 120.00°
Positions (direct):
1 Nb 0.000 0.000 0.148
2 Nb 0.000 0.000 0.852
3 Nb 0.333 0.667 0.320
4 Nb 0.333 0.667 0.680
5 Cu 0.333 0.667 0.000
6 Pb 0.000 0.000 0.500
7 C 0.667 0.333 0.233
8 C 0.667 0.333 0.767